Tb2PrSm6Dy: relaxed, GGA-PBE.

abc: 9.234 15.250 9.681
angles: 90.00 97.23 90.00
Space group C2/c (No. 15)
Inequivalent atoms, fractional coordinates:
Tb1 0.249 0.050 0.454 [8 per cell]
Pr1 0.000 0.474 0.250 [4 per cell]
Sm1 0.064 0.317 0.944 [8 per cell]
Sm2 0.098 0.109 0.119 [8 per cell]
Sm3 0.211 0.275 0.315 [8 per cell]
Dy1 0.000 0.091 0.750 [4 per cell]

Computed properties:
**Energy**: -4.579 eV per atom
**Energy relative to the elements**: 112 kJ/mol of formula units
**DOS at the Fermi energy**: 56.74 states/eV per cell